Entry 1:
Computed, not measured: a relaxed structure of AlTcNi2C at the PBE-GGA level of DFT.

Output
As for the space group: P4/mmm. The value obtained for the formation energy from the elements is -214 meV/atom.

Unit cell a=3.7844 b=3.7844 c=4.0312 alpha=90.00 beta=90.00 gamma=90.00
Fractional coordinates of all 5 atoms:
1 Ni 0.0000 0.5000 0.0000
2 Ni 0.5000 0.0000 0.0000
3 C 0.0000 0.0000 0.0000
4 Tc 0.0000 0.0000 0.5000
5 Al 0.5000 0.5000 0.5000

***

Entry 2:
Computed, not measured: a relaxed structure of Ac6RuPt2N at the PBE-GGA level of DFT.

Output
As for the space group: P1. As for the energy relative to the elements, uncorrected: -64.4 kJ/mol of atoms.

Unit cell a=7.4517 b=7.2526 c=8.2562 alpha=61.42 beta=62.57 gamma=61.91
Fractional coordinates of all 10 atoms:
1 Ac 0.5764 0.2308 0.2509
2 Ac 0.2368 0.9663 0.2303
3 Ac 0.9447 0.5700 0.2442
4 Ac 0.4213 0.6878 0.7828
5 Ac 0.7445 0.0753 0.7338
6 Ac 0.0859 0.4369 0.7269
7 Ru 0.8353 0.8234 0.5126
8 Pt 0.5026 0.5195 0.4697
9 Pt 0.0011 0.0077 0.9803
10 N 0.3131 0.3440 0.0837

***

Electronic total energy, respectively: -7.193 -6.101 eV/atom.